(1)
The following is a DFT calculation (PBE-GGA) of an optimized crystal structure of MnCoAg2.

Cell lengths 2.8258, 2.8258, 7.7537 Å; angles 90.00, 90.00, 90.00 degrees
Fractional coordinates of all 4 atoms:
Mn1 0.0000 0.0000 0.0000
Co1 0.0000 0.0000 0.5000
Ag1 0.5000 0.5000 0.2576
Ag2 0.5000 0.5000 0.7424

Properties
Calculated volume = 62 Å³ per cell
E = -20.3 eV for the cell shown
E above lowest polymorph = 188 meV per atom
ΔE_f = 0.43 eV/atom
Symmetry = P4/mmm (123)
Size of the total moment = 5.57 Bohr magnetons per cell

(2)
The following is a DFT calculation (PBE-GGA) of an optimized crystal structure of ZnCd4.

Cell lengths 6.8813, 6.8813, 4.4909 Å; angles 90.00, 90.00, 90.00 degrees
Fractional coordinates of all 10 atoms:
Zn1 0.0000 0.0000 0.0000
Zn2 0.5000 0.5000 0.5000
Cd1 0.1043 0.7037 0.5000
Cd2 0.2037 0.3957 0.0000
Cd3 0.2963 0.1043 0.5000
Cd4 0.3957 0.7963 0.0000
Cd5 0.6043 0.2037 0.0000
Cd6 0.7037 0.8957 0.5000
Cd7 0.7963 0.6043 0.0000
Cd8 0.8957 0.2963 0.5000

Properties
Calculated volume = 213 Å³ per cell
E = -9.4 eV for the cell shown
ΔE_f = 0.05 eV/atom
Symmetry = I4/m (87)
Size of the total moment = 0.00 Bohr magnetons per cell

(3)
The following is a DFT calculation (PBE-GGA) of an optimized crystal structure of AgICl3.

Cell lengths 5.5312, 5.5312, 5.5312 Å; angles 90.00, 90.00, 90.00 degrees
Fractional coordinates of all 5 atoms:
Ag1 0.0000 0.0000 0.0000
I1 0.5000 0.5000 0.5000
Cl1 0.0000 0.5000 0.5000
Cl2 0.5000 0.0000 0.5000
Cl3 0.5000 0.5000 0.0000

Properties
Formation energy from raw total energies = 98 kJ/mol of formula units
Calculated volume = 169 Å³ per cell
E = -8.9 eV for the cell shown
E above lowest polymorph = 441 meV per atom
Symmetry = Pm-3m (221)
Size of the total moment = 0.00 Bohr magnetons per cell

(4)
The following is a DFT calculation (PBE-GGA) of an optimized crystal structure of Tb4PmSm2Dy.

Cell lengths 5.0666, 5.0733, 10.1343 Å; angles 90.00, 90.06, 90.00 degrees
Fractional coordinates of all 8 atoms:
Tb1 0.9997 0.0000 0.2482
Tb2 0.0003 0.0000 0.7518
Tb3 0.4998 0.5000 0.2484
Tb4 0.5002 0.5000 0.7516
Pm1 0.0000 0.5000 0.5000
Sm1 0.0000 0.5000 0.0000
Sm2 0.5000 0.0000 0.5000
Dy1 0.5000 0.0000 0.0000

Properties
Calculated volume = 260 Å³ per cell
E = -37.2 eV for the cell shown
ΔE_f = 0.01 eV/atom
Symmetry = P2/m (10)
Size of the total moment = 0.00 Bohr magnetons per cell

(5)
The following is a DFT calculation (PBE-GGA) of an optimized crystal structure of SrIn2Br.

Cell lengths 7.8006, 4.7997, 8.7175 Å; angles 90.00, 106.90, 90.00 degrees
Fractional coordinates of all 8 atoms:
Sr1 0.0000 0.0000 0.0000
Sr2 0.5000 0.5000 0.0000
In1 0.0578 0.5000 0.6019
In2 0.2493 0.0000 0.7191
In3 0.5578 0.0000 0.6019
In4 0.7493 0.5000 0.7191
Br1 0.2166 0.5000 0.1813
Br2 0.7166 0.0000 0.1813

Properties
Formation energy from raw total energies = -266 kJ/mol of formula units
Calculated volume = 312 Å³ per cell
E = -23.2 eV for the cell shown
E above lowest polymorph = 9 meV per atom
Symmetry = Cm (8)
Size of the total moment = 0.00 Bohr magnetons per cell

(6)
The following is a DFT calculation (PBE-GGA) of an optimized crystal structure of Fe3C5.

Cell lengths 5.7442, 5.7442, 5.6926 Å; angles 104.18, 104.18, 119.88 degrees
Fractional coordinates of all 16 atoms:
Fe1 0.0000 0.0000 0.0000
Fe2 0.1734 0.6746 0.7498
Fe3 0.2240 0.2240 0.4978
Fe4 0.4849 0.7335 0.2459
Fe5 0.6746 0.1734 0.7498
Fe6 0.7335 0.4849 0.2459
C1 0.0900 0.4664 0.3865
C2 0.3368 0.9650 0.1128
C3 0.3721 0.3721 0.2620
C4 0.4471 0.5841 0.8708
C5 0.4664 0.0900 0.3865
C6 0.5841 0.4471 0.8708
C7 0.8357 0.9724 0.6179
C8 0.8567 0.8567 0.2300
C9 0.9650 0.3368 0.1128
C10 0.9724 0.8357 0.6179

Properties
Calculated volume = 142 Å³ per cell
E = -127.4 eV for the cell shown
E above lowest polymorph = 118 meV per atom
ΔE_f = 0.98 eV/atom
Symmetry = Cm (8)
Size of the total moment = 3.89 Bohr magnetons per cell

Question: Among the records above, which one has the highest E?
Answer: AgICl3